# 1
Material: AcNiAu2
Method: DFT, PBE
State: optimized geometry

Values from the calculation:
Volume = 23.062 Å³/atom
Symmetry = R-3m

abc: 5.8565 5.8565 5.8565
angles: 45.25 45.25 45.25
Positions (direct):
Ac  0.0000  0.0000  0.0000
Ni  0.5000  0.5000  0.5000
Au  0.2098  0.2098  0.2098
Au  0.7902  0.7902  0.7902

# 2
Material: AcNi3Au9
Method: DFT, PBE
State: optimized geometry

Values from the calculation:
Volume = 18.107 Å³/atom
Symmetry = C2/m

abc: 7.1784 7.1784 7.0282
angles: 97.93 97.93 135.70
Positions (direct):
Ac  0.0000  0.0000  0.0000
Ni  0.0000  0.5000  0.0000
Ni  0.5000  0.0000  0.0000
Ni  0.5000  0.5000  0.5000
Au  0.0000  0.0000  0.5000
Au  0.0107  0.6588  0.6669
Au  0.2916  0.5174  0.7830
Au  0.3412  0.9893  0.3331
Au  0.4826  0.7084  0.2170
Au  0.5174  0.2916  0.7830
Au  0.6588  0.0107  0.6669
Au  0.7084  0.4826  0.2170
Au  0.9893  0.3412  0.3331

# 3
Material: Ac3NiAu
Method: DFT, PBE
State: optimized geometry

Values from the calculation:
Volume = 32.820 Å³/atom
Symmetry = C2/m
Energy above the most stable polymorph in this dataset = 85 meV/atom

abc: 7.0575 7.0575 9.4586
angles: 106.47 106.47 47.10
Positions (direct):
Ac  0.0965  0.0965  0.2005
Ac  0.1680  0.1680  0.6079
Ac  0.3769  0.3769  0.1144
Ac  0.6231  0.6231  0.8856
Ac  0.8320  0.8320  0.3921
Ac  0.9035  0.9035  0.7995
Ni  0.1430  0.1430  0.9082
Ni  0.8570  0.8570  0.0918
Au  0.4082  0.4082  0.5766
Au  0.5918  0.5918  0.4234

# 4
Material: Ac5Ni2Au5
Method: DFT, PBE
State: optimized geometry

Values from the calculation:
Volume = 27.430 Å³/atom
Symmetry = C2/m

abc: 8.7754 8.7754 12.3881
angles: 130.94 130.94 27.89
Positions (direct):
Ac  0.0000  0.0000  0.0000
Ac  0.1082  0.1082  0.4131
Ac  0.1966  0.1966  0.8142
Ac  0.8034  0.8034  0.1858
Ac  0.8918  0.8918  0.5869
Ni  0.3682  0.3682  0.7444
Ni  0.6318  0.6318  0.2556
Au  0.2489  0.2489  0.3189
Au  0.4300  0.4300  0.1416
Au  0.5000  0.5000  0.5000
Au  0.5700  0.5700  0.8584
Au  0.7511  0.7511  0.6811

# 5
Material: Ac7Ni2Au2
Method: DFT, PBE
State: optimized geometry

Values from the calculation:
Volume = 33.572 Å³/atom
Symmetry = Imm2

abc: 10.2705 10.2705 10.2705
angles: 156.88 66.13 119.02
Positions (direct):
Ac  0.0000  0.0000  0.0000
Ac  0.2493  0.3551  0.8942
Ac  0.2587  0.5646  0.6941
Ac  0.4609  0.3551  0.1058
Ac  0.5919  0.2030  0.3889
Ac  0.8142  0.2030  0.6111
Ac  0.8705  0.5646  0.3059
Ni  0.2063  0.7063  0.5000
Ni  0.6065  0.6065  0.0000
Au  0.0856  0.8483  0.2373
Au  0.6109  0.8483  0.7627

# 6
Material: Ac2NiAu3
Method: DFT, PBE
State: optimized geometry

Values from the calculation:
Volume = 25.719 Å³/atom
Symmetry = Pmm2

abc: 4.0907 4.7070 8.0144
angles: 90.00 90.00 90.00
Positions (direct):
Ac  0.0000  0.0000  0.0000
Ac  0.0000  0.5000  0.4825
Ni  0.5000  0.0000  0.3033
Au  0.5000  0.0000  0.6270
Au  0.5000  0.5000  0.1739
Au  0.5000  0.5000  0.8234

no.,size of the total moment (Bohr magnetons per cell),calculated formation energy (eV/f.u.)
1,0.000,-1.9
2,0.000,-2.8
3,0.000,-1.7
4,0.000,-8.1
5,0.000,-4.0
6,0.000,-4.1